(1)
The following is a PBE calculation of a geometry-optimized LaAlBiB2 structure, from Alexandria via LeMat-Bulk.

The calculation puts the density of states at the Fermi level at 3.56 states/eV/cell. Its total magnetic moment is 0.00 μB/f.u. The calculation puts the energy of formation from the pure elements at 833.1 kJ/mol of formula units. Its symmetry is No. 123. Its crystal system is tetragonal.

POSCAR file:
```
LaAlBiB2
1.0
4.8215 0.0000 0.0000
0.0000 4.8215 0.0000
0.0000 0.0000 5.7009
La Al Bi B
1 1 1 2
Direct
0.0000 0.0000 0.0000
0.0000 0.0000 0.5000
0.5000 0.5000 0.5000
0.0000 0.5000 0.0000
0.5000 0.0000 0.0000
```

***

(2)
The following is a PBE calculation of a geometry-optimized LiAl2BiB structure, from Alexandria via LeMat-Bulk.

The calculation puts the density of states at the Fermi level at 2.60 states/eV/cell. Its total magnetic moment is 0.00 μB/f.u. The calculation puts the energy of formation from the pure elements at 583.8 kJ/mol of formula units. Its symmetry is No. 123. Its crystal system is tetragonal.

POSCAR file:
```
LiAl2BiB
1.0
4.5548 0.0000 0.0000
0.0000 4.5548 0.0000
0.0000 0.0000 5.0066
Li Al Bi B
1 2 1 1
Direct
0.0000 0.0000 0.0000
0.0000 0.5000 0.0000
0.5000 0.0000 0.0000
0.0000 0.0000 0.5000
0.5000 0.5000 0.5000
```